Entry 1:
SmGdF3 PBE relaxed; energy = -6.150 eV per atom; symmetry = No. 12
1.0
6.483 -1.867 0.000
6.483 1.867 0.000
-1.386 0.000 6.656
Sm F Gd
2 6 2
direct
0.120 0.120 0.844
0.880 0.880 0.156
0.067 0.067 0.170
0.193 0.193 0.550
0.305 0.305 0.912
0.695 0.695 0.088
0.933 0.933 0.830
0.807 0.807 0.450
0.604 0.604 0.391
0.396 0.396 0.609



Entry 2:
GdSnF7 PBE relaxed; energy = -5.599 eV per atom; symmetry = No. 14
1.0
11.015 0.000 0.164
0.000 5.232 0.000
-2.518 0.000 8.190
F Gd Sn
28 4 4
direct
0.592 0.572 0.896
0.952 0.233 0.940
0.408 0.428 0.104
0.384 0.853 0.907
0.116 0.353 0.593
0.186 0.431 0.916
0.728 0.373 0.684
0.548 0.733 0.560
0.954 0.596 0.723
0.046 0.404 0.277
0.546 0.096 0.777
0.358 0.447 0.673
0.884 0.647 0.407
0.092 0.928 0.396
0.454 0.904 0.223
0.272 0.627 0.316
0.616 0.147 0.093
0.228 0.127 0.184
0.908 0.072 0.604
0.772 0.873 0.816
0.314 0.931 0.584
0.452 0.267 0.440
0.858 0.053 0.173
0.142 0.947 0.827
0.686 0.069 0.416
0.814 0.569 0.084
0.642 0.553 0.327
0.048 0.767 0.060
0.237 0.267 0.429
0.263 0.767 0.071
0.763 0.733 0.571
0.737 0.233 0.929
0.039 0.259 0.767
0.961 0.741 0.233
0.461 0.759 0.733
0.539 0.241 0.267



no.,total magnetic moment (μB per cell)
1,0.00
2,0.00